# 1
3
Lattice="0.000 2.330 7.247 1.769 0.000 7.247 1.769 2.330 0.000" Properties=species:S:1:pos:R:3 comment="CdInMo | the Alexandria database | GGA-PBE | optimized geometry" n_ef_per_ev_atom=0.91 relative_energy_mev_per_atom=15.1 m_tot_mub_per_atom=0.00 space_group=Fmm2 rho_kg_m3=8979 delta_e_f_ev_per_atom=0.45 pbc="T T T"
Cd 0.000 0.000 0.000
In 1.769 2.330 9.949
Mo 1.769 2.330 4.964

---

# 2
6
Lattice="2.468 -2.465 0.000 2.468 2.465 0.000 -2.362 0.000 11.593" Properties=species:S:1:pos:R:3 comment="CuTeAs | the Alexandria database | GGA-PBE | optimized geometry" n_ef_per_ev_atom=0.37 formation_energy_uncorrected_ev_per_atom=0.125 m_tot_mub_per_atom=0.00 space_group=C2/m rho_kg_m3=6265 pbc="T T T"
Cu 0.069 0.000 2.913
Cu 2.505 0.000 8.680
Te 0.043 0.000 9.800
Te 2.532 0.000 1.793
As 0.056 0.000 5.324
As 2.518 0.000 6.269